Density functional theory data (PBE) for a relaxed structure of CuSnC.

Output
The value obtained for the electronic total energy is -4.902 eV per atom. Its relative energy among the computed polymorphs is 32.7 meV/atom. The calculation puts the energy of formation at 872 meV/atom.

The structure in CIF format:
```
data_CuSnC
_chemical_formula_sum 'Cu1 Sn1 C1'
_symmetry_space_group_name_H-M 'P 1'
_symmetry_Int_Tables_number 1
_symmetry_space_group_name_Hall 'P 1'
_cell_length_a 3.4515
_cell_length_b 3.8202
_cell_length_c 3.4546
_cell_angle_alpha 90.00
_cell_angle_beta 90.02
_cell_angle_gamma 90.00
loop_
_atom_site_label
_atom_site_fract_x
_atom_site_fract_y
_atom_site_fract_z
Cu1 0.0000 0.0000 0.0000
Sn1 0.5071 0.5000 0.5270
C1 0.0095 0.5000 0.0364
```

Density functional theory data (PBE) for a relaxed structure of CuSnC.

Output
The value obtained for the electronic total energy is -4.732 eV per atom. Its relative energy among the computed polymorphs is 203.0 meV/atom. The calculation puts the energy of formation at 1043 meV/atom.

The structure in CIF format:
```
data_CuSnC
_chemical_formula_sum 'Cu1 Sn1 C1'
_symmetry_space_group_name_H-M 'P 1'
_symmetry_Int_Tables_number 1
_symmetry_space_group_name_Hall 'P 1'
_cell_length_a 3.4438
_cell_length_b 3.4438
_cell_length_c 4.2832
_cell_angle_alpha 98.43
_cell_angle_beta 98.43
_cell_angle_gamma 65.39
loop_
_atom_site_label
_atom_site_fract_x
_atom_site_fract_y
_atom_site_fract_z
Cu1 0.0000 0.0000 0.0000
Sn1 0.4497 0.4497 0.4653
C1 0.6514 0.6514 0.0064
```

Density functional theory data (PBE) for a relaxed structure of CuSnC.

Output
The value obtained for the electronic total energy is -4.885 eV per atom. Its relative energy among the computed polymorphs is 49.1 meV/atom. The calculation puts the energy of formation at 889 meV/atom.

The structure in CIF format:
```
data_CuSnC
_chemical_formula_sum 'Cu1 Sn1 C1'
_symmetry_space_group_name_H-M 'P 1'
_symmetry_Int_Tables_number 1
_symmetry_space_group_name_Hall 'P 1'
_cell_length_a 3.6305
_cell_length_b 3.0314
_cell_length_c 5.0010
_cell_angle_alpha 90.00
_cell_angle_beta 111.06
_cell_angle_gamma 90.00
loop_
_atom_site_label
_atom_site_fract_x
_atom_site_fract_y
_atom_site_fract_z
Cu1 0.0000 0.0000 0.0000
Sn1 0.2395 0.5000 0.4762
C1 0.8691 0.5000 0.7381
```

Density functional theory data (PBE) for a relaxed structure of CuSnC.

Output
The value obtained for the electronic total energy is -4.770 eV per atom. Its relative energy among the computed polymorphs is 165.0 meV/atom. The calculation puts the energy of formation at 1005 meV/atom.

The structure in CIF format:
```
data_CuSnC
_chemical_formula_sum 'Cu1 Sn1 C1'
_symmetry_space_group_name_H-M 'P 1'
_symmetry_Int_Tables_number 1
_symmetry_space_group_name_Hall 'P 1'
_cell_length_a 3.1758
_cell_length_b 3.5213
_cell_length_c 4.5816
_cell_angle_alpha 83.49
_cell_angle_beta 86.12
_cell_angle_gamma 64.87
loop_
_atom_site_label
_atom_site_fract_x
_atom_site_fract_y
_atom_site_fract_z
Cu1 0.0000 0.0000 0.0000
Sn1 0.1935 0.4994 0.5279
C1 0.5072 0.9327 0.2746
```

Density functional theory data (PBE) for a relaxed structure of CuSnC.

Output
The value obtained for the electronic total energy is -4.755 eV per atom. Its relative energy among the computed polymorphs is 179.3 meV/atom. The calculation puts the energy of formation at 1019 meV/atom.

The structure in CIF format:
```
data_CuSnC
_chemical_formula_sum 'Cu1 Sn1 C1'
_symmetry_space_group_name_H-M 'P 1'
_symmetry_Int_Tables_number 1
_symmetry_space_group_name_Hall 'P 1'
_cell_length_a 3.4408
_cell_length_b 3.4408
_cell_length_c 4.6257
_cell_angle_alpha 90.00
_cell_angle_beta 90.00
_cell_angle_gamma 120.00
loop_
_atom_site_label
_atom_site_fract_x
_atom_site_fract_y
_atom_site_fract_z
Cu1 0.0000 0.0000 0.0000
Sn1 0.3333 0.6667 0.5000
C1 0.3333 0.6667 0.0000
```

Density functional theory data (PBE) for a relaxed structure of Cu2SnC.

Output
The value obtained for the electronic total energy is -4.089 eV per atom. Its relative energy among the computed polymorphs is 524.4 meV/atom. The calculation puts the energy of formation at 1266 meV/atom.

The structure in CIF format:
```
data_Cu2SnC
_chemical_formula_sum 'Cu2 Sn1 C1'
_symmetry_space_group_name_H-M 'P 1'
_symmetry_Int_Tables_number 1
_symmetry_space_group_name_Hall 'P 1'
_cell_length_a 4.2829
_cell_length_b 4.2829
_cell_length_c 4.2829
_cell_angle_alpha 60.00
_cell_angle_beta 60.00
_cell_angle_gamma 60.00
loop_
_atom_site_label
_atom_site_fract_x
_atom_site_fract_y
_atom_site_fract_z
Cu1 0.2500 0.2500 0.2500
Cu2 0.7500 0.7500 0.7500
Sn1 0.0000 0.0000 0.0000
C1 0.5000 0.5000 0.5000
```

Density functional theory data (PBE) for a relaxed structure of Sr2CuSnC.

Output
The value obtained for the electronic total energy is -3.225 eV per atom. Its relative energy among the computed polymorphs is 0.0 meV/atom. The calculation puts the energy of formation at 912 meV/atom.

The structure in CIF format:
```
data_Sr2CuSnC
_chemical_formula_sum 'Sr2 Cu1 Sn1 C1'
_symmetry_space_group_name_H-M 'P 1'
_symmetry_Int_Tables_number 1
_symmetry_space_group_name_Hall 'P 1'
_cell_length_a 6.2974
_cell_length_b 6.2974
_cell_length_c 4.2518
_cell_angle_alpha 90.00
_cell_angle_beta 90.00
_cell_angle_gamma 90.00
loop_
_atom_site_label
_atom_site_fract_x
_atom_site_fract_y
_atom_site_fract_z
Sr1 0.0000 0.5000 0.0000
Sr2 0.5000 0.0000 0.0000
Cu1 0.0000 0.0000 0.5000
Sn1 0.5000 0.5000 0.0000
C1 0.5000 0.5000 0.5000
```

Density functional theory data (PBE) for a relaxed structure of Sr2CuSnC.

Output
The value obtained for the electronic total energy is -3.049 eV per atom. Its relative energy among the computed polymorphs is 175.5 meV/atom. The calculation puts the energy of formation at 1088 meV/atom.

The structure in CIF format:
```
data_Sr2CuSnC
_chemical_formula_sum 'Sr2 Cu1 Sn1 C1'
_symmetry_space_group_name_H-M 'P 1'
_symmetry_Int_Tables_number 1
_symmetry_space_group_name_Hall 'P 1'
_cell_length_a 6.2880
_cell_length_b 6.2880
_cell_length_c 4.7801
_cell_angle_alpha 90.00
_cell_angle_beta 90.00
_cell_angle_gamma 90.00
loop_
_atom_site_label
_atom_site_fract_x
_atom_site_fract_y
_atom_site_fract_z
Sr1 0.0000 0.5000 0.0000
Sr2 0.5000 0.0000 0.0000
Cu1 0.0000 0.0000 0.5000
Sn1 0.0000 0.0000 0.0000
C1 0.5000 0.5000 0.5000
```

Density functional theory data (PBE) for a relaxed structure of Cu2SnTeC.

Output
The value obtained for the electronic total energy is -4.165 eV per atom. The calculation puts the uncorrected formation energy at 3.74 eV per formula unit.

The structure in CIF format:
```
data_Cu2SnTeC
_chemical_formula_sum 'Cu2 Sn1 Te1 C1'
_symmetry_space_group_name_H-M 'P 1'
_symmetry_Int_Tables_number 1
_symmetry_space_group_name_Hall 'P 1'
_cell_length_a 4.1246
_cell_length_b 4.1246
_cell_length_c 5.2972
_cell_angle_alpha 90.00
_cell_angle_beta 90.00
_cell_angle_gamma 90.00
loop_
_atom_site_label
_atom_site_fract_x
_atom_site_fract_y
_atom_site_fract_z
Cu1 0.0000 0.5000 0.0000
Cu2 0.5000 0.0000 0.0000
Sn1 0.0000 0.0000 0.5000
Te1 0.5000 0.5000 0.5000
C1 0.5000 0.5000 0.0000
```

Density functional theory data (PBE) for a relaxed structure of CuSnW2C.

Output
The value obtained for the electronic total energy is -7.813 eV per atom. The calculation puts the energy of formation at 833 meV/atom.

The structure in CIF format:
```
data_CuSnW2C
_chemical_formula_sum 'Cu1 Sn1 W2 C1'
_symmetry_space_group_name_H-M 'P 1'
_symmetry_Int_Tables_number 1
_symmetry_space_group_name_Hall 'P 1'
_cell_length_a 4.0961
_cell_length_b 4.0961
_cell_length_c 4.7060
_cell_angle_alpha 90.00
_cell_angle_beta 90.00
_cell_angle_gamma 90.00
loop_
_atom_site_label
_atom_site_fract_x
_atom_site_fract_y
_atom_site_fract_z
Cu1 0.0000 0.0000 0.0000
Sn1 0.5000 0.5000 0.0000
W1 0.0000 0.5000 0.5000
W2 0.5000 0.0000 0.5000
C1 0.5000 0.5000 0.5000
```

Density functional theory data (PBE) for a relaxed structure of Y2CuSnC.

Output
The value obtained for the electronic total energy is -6.404 eV per atom. Its relative energy among the computed polymorphs is 0.0 meV/atom. The calculation puts the energy of formation at -354 meV/atom.

The structure in CIF format:
```
data_Y2CuSnC
_chemical_formula_sum 'Y2 Cu1 Sn1 C1'
_symmetry_space_group_name_H-M 'P 1'
_symmetry_Int_Tables_number 1
_symmetry_space_group_name_Hall 'P 1'
_cell_length_a 5.0316
_cell_length_b 5.0316
_cell_length_c 3.9471
_cell_angle_alpha 90.00
_cell_angle_beta 90.00
_cell_angle_gamma 90.00
loop_
_atom_site_label
_atom_site_fract_x
_atom_site_fract_y
_atom_site_fract_z
Y1 0.0000 0.5000 0.0000
Y2 0.5000 0.0000 0.0000
Cu1 0.0000 0.0000 0.5000
Sn1 0.5000 0.5000 0.5000
C1 0.0000 0.0000 0.0000
```

Density functional theory data (PBE) for a relaxed structure of Y2CuSnC.

Output
The value obtained for the electronic total energy is -6.058 eV per atom. Its relative energy among the computed polymorphs is 345.4 meV/atom. The calculation puts the energy of formation at -8 meV/atom.

The structure in CIF format:
```
data_Y2CuSnC
_chemical_formula_sum 'Y2 Cu1 Sn1 C1'
_symmetry_space_group_name_H-M 'P 1'
_symmetry_Int_Tables_number 1
_symmetry_space_group_name_Hall 'P 1'
_cell_length_a 4.8752
_cell_length_b 4.8752
_cell_length_c 4.4607
_cell_angle_alpha 90.00
_cell_angle_beta 90.00
_cell_angle_gamma 90.00
loop_
_atom_site_label
_atom_site_fract_x
_atom_site_fract_y
_atom_site_fract_z
Y1 0.0000 0.5000 0.0000
Y2 0.5000 0.0000 0.0000
Cu1 0.0000 0.0000 0.5000
Sn1 0.5000 0.5000 0.5000
C1 0.5000 0.5000 0.0000
```

| no. | M_tot (μB per formula unit) |
| --- | --- |
| 1 | 0.0 |
| 2 | 0.0 |
| 3 | 0.0 |
| 4 | 0.0 |
| 5 | 0.0 |
| 6 | 0.0 |
| 7 | 0.0 |
| 8 | 2.9 |
| 9 | 0.0 |
| 10 | 0.0 |
| 11 | 0.0 |
| 12 | 0.0 |